No. 1
Below is a relaxed structure of MgGaFeSb, with properties calculated at the PBE level.

Summary:
The value obtained for the relative energy among the computed polymorphs is 0 meV/atom. Its spin magnetization is 1.95 μB per formula unit. As for the total DFT energy (no corrections): -16.20 eV/cell. Its space group is F-43m.

Unit cell a=4.6829 b=4.6829 c=4.6829 alpha=60.00 beta=60.00 gamma=60.00
Fractional positions:
Fe  0.2500  0.2500  0.2500
Ga  0.0000  0.0000  0.0000
Mg  0.7500  0.7500  0.7500
Sb  0.5000  0.5000  0.5000

No. 2
Below is a relaxed structure of Gd4Pt3Au, with properties calculated at the PBE level.

Summary:
Its spin magnetization is 0.02 μB per formula unit. As for the total DFT energy (no corrections): -49.35 eV/cell. Its space group is Pm. The value obtained for the formation energy is -1.1625 eV/atom.

Unit cell a=5.6355 b=4.5636 c=7.1346 alpha=90.00 beta=90.25 gamma=90.00
Fractional positions:
Au  0.3463  0.5000  0.5423
Gd  0.6466  0.5000  0.1800
Gd  0.1360  0.0000  0.3091
Gd  0.8545  0.5000  0.6866
Gd  0.3589  0.0000  0.8267
Pt  0.1598  0.5000  0.0438
Pt  0.6543  0.0000  0.4574
Pt  0.8436  0.0000  0.9541

No. 3
Below is a relaxed structure of ErTm2Ga3CoGe2, with properties calculated at the PBE level.

Summary:
Its spin magnetization is 0.01 μB per formula unit. As for the total DFT energy (no corrections): -45.18 eV/cell. Its space group is Amm2.

Unit cell a=4.0925 b=6.8939 c=6.8939 alpha=120.05 beta=90.00 gamma=90.00
Fractional positions:
Co  0.0000  0.0008  0.0008
Er  0.0000  0.6001  0.6001
Ga  0.5000  0.7704  0.0004
Ga  0.5000  0.2296  0.2296
Ga  0.5000  0.0004  0.7704
Ge  0.5000  0.6669  0.3326
Ge  0.5000  0.3326  0.6669
Tm  0.0000  0.9998  0.3994
Tm  0.0000  0.3994  0.9998

No. 4
Below is a relaxed structure of Li2Te3Pd2, with properties calculated at the PBE level.

Summary:
The value obtained for the relative energy among the computed polymorphs is 0 meV/atom. As for the total DFT energy (no corrections): -54.55 eV/cell. Its space group is I2_13.

Unit cell a=7.1905 b=7.1905 c=7.1905 alpha=109.47 beta=109.47 gamma=109.47
Fractional positions:
Li  0.3446  0.5000  0.0000
Li  0.1554  0.1554  0.1554
Li  0.5000  0.0000  0.3446
Li  0.0000  0.3446  0.5000
Pd  0.8054  0.5000  0.0000
Pd  0.0000  0.8054  0.5000
Pd  0.6946  0.6946  0.6946
Pd  0.5000  0.0000  0.8054
Te  0.7500  0.8787  0.1287
Te  0.6213  0.3713  0.2500
Te  0.2500  0.6213  0.3713
Te  0.3713  0.2500  0.6213
Te  0.8787  0.1287  0.7500
Te  0.1287  0.7500  0.8787

No. 5
Below is a relaxed structure of Rb3PrAs2, with properties calculated at the PBE level.

Summary:
Its spin magnetization is 0.01 μB per formula unit. As for the total DFT energy (no corrections): -36.48 eV/cell. Its space group is C2/c.

Unit cell a=8.2955 b=8.2955 c=8.5291 alpha=94.59 beta=94.59 gamma=85.74
Fractional positions:
As  0.9412  0.4298  0.1015
As  0.5702  0.0588  0.3985
As  0.4298  0.9412  0.6015
As  0.0588  0.5702  0.8985
Pr  0.8095  0.1905  0.2500
Pr  0.1905  0.8095  0.7500
Rb  0.3282  0.2444  0.0213
Rb  0.2048  0.7952  0.2500
Rb  0.7556  0.6718  0.4787
Rb  0.2444  0.3282  0.5213
Rb  0.7952  0.2048  0.7500
Rb  0.6718  0.7556  0.9787

No. 6
Below is a relaxed structure of Sc4SnHgC2, with properties calculated at the PBE level.

Summary:
Its spin magnetization is 0.70 μB per formula unit. As for the total DFT energy (no corrections): -52.76 eV/cell. Its space group is P-6m2.

Unit cell a=3.3646 b=3.3646 c=14.9540 alpha=90.00 beta=90.00 gamma=120.00
Fractional positions:
C  0.6667  0.3333  0.2499
C  0.6667  0.3333  0.7501
Hg  0.0000  0.0000  0.5000
Sc  0.0000  0.0000  0.1684
Sc  0.3333  0.6667  0.3315
Sc  0.3333  0.6667  0.6685
Sc  0.0000  0.0000  0.8316
Sn  0.3333  0.6667  0.0000

No. 7
Below is a relaxed structure of LiAsIr2, with properties calculated at the PBE level.

Summary:
Its spin magnetization is 0.01 μB per formula unit. As for the total DFT energy (no corrections): -24.01 eV/cell. Its space group is F-43m.

Unit cell a=4.3458 b=4.3458 c=4.3458 alpha=60.00 beta=60.00 gamma=60.00
Fractional positions:
As  0.5000  0.5000  0.5000
Ir  0.0000  0.0000  0.0000
Ir  0.7500  0.7500  0.7500
Li  0.2500  0.2500  0.2500

No. 8
Below is a relaxed structure of ZrGaCuOs, with properties calculated at the PBE level.

Summary:
The value obtained for the relative energy among the computed polymorphs is 0 meV/atom. Its spin magnetization is 0.00 μB per formula unit. As for the total DFT energy (no corrections): -27.31 eV/cell. Its space group is F-43m.

Unit cell a=4.4717 b=4.4717 c=4.4717 alpha=60.00 beta=60.00 gamma=60.00
Fractional positions:
Cu  0.7500  0.7500  0.7500
Ga  0.0000  0.0000  0.0000
Os  0.2500  0.2500  0.2500
Zr  0.5000  0.5000  0.5000

No. 9
Below is a relaxed structure of Lu4Nb2Al3N3, with properties calculated at the PBE level.

Summary:
Its spin magnetization is 0.00 μB per formula unit. As for the total DFT energy (no corrections): -172.08 eV/cell. Its space group is C2/c.

Unit cell a=5.7354 b=5.7354 c=14.4697 alpha=101.27 beta=101.27 gamma=60.29
Fractional positions:
Al  0.6893  0.5834  0.2495
Al  0.1439  0.8561  0.2500
Al  0.4166  0.3107  0.2505
Al  0.5834  0.6893  0.7495
Al  0.8561  0.1439  0.7500
Al  0.3107  0.4166  0.7505
Lu  0.0343  0.1946  0.0938
Lu  0.6971  0.8683  0.0939
Lu  0.1317  0.3029  0.4061
Lu  0.8054  0.9657  0.4062
Lu  0.1946  0.0343  0.5938
Lu  0.8683  0.6971  0.5939
Lu  0.3029  0.1317  0.9061
Lu  0.9657  0.8054  0.9062
N  0.6683  0.1637  0.0000
N  0.0000  0.5000  0.0000
N  0.3317  0.8363  0.0000
N  0.1637  0.6683  0.5000
N  0.5000  0.0000  0.5000
N  0.8363  0.3317  0.5000
Nb  0.3591  0.5253  0.0764
Nb  0.4747  0.6409  0.4236
Nb  0.5253  0.3591  0.5764
Nb  0.6409  0.4747  0.9236

No. 10
Below is a relaxed structure of TcSn2, with properties calculated at the PBE level.

Summary:
The value obtained for the relative energy among the computed polymorphs is 0 meV/atom. Its spin magnetization is 0.02 μB per formula unit. As for the total DFT energy (no corrections): -73.61 eV/cell. Its space group is Fddd.

Unit cell a=10.4450 b=9.6771 c=5.5133 alpha=81.95 beta=66.54 gamma=31.51
Fractional positions:
Sn  0.0857  0.4143  0.0857
Sn  0.1643  0.8357  0.1643
Sn  0.4143  0.0857  0.4143
Sn  0.5794  0.5794  0.4206
Sn  0.4206  0.4206  0.5794
Sn  0.8294  0.8294  0.6706
Sn  0.6706  0.6706  0.8294
Sn  0.8357  0.1643  0.8357
Tc  0.3767  0.3767  0.1233
Tc  0.8733  0.8733  0.1267
Tc  0.1233  0.1233  0.3767
Tc  0.1267  0.1267  0.8733

No. 11
Below is a relaxed structure of Mg2Ag, with properties calculated at the PBE level.

Summary:
As for the total DFT energy (no corrections): -12.62 eV/cell. Its space group is P-62m.

Unit cell a=5.2967 b=5.2967 c=4.7575 alpha=90.00 beta=90.00 gamma=60.00
Fractional positions:
Ag  0.0000  0.0000  0.0000
Ag  0.3333  0.3333  0.0000
Mg  0.6667  0.6667  0.0000
Mg  0.6667  0.0107  0.5000
Mg  0.0107  0.3227  0.5000
Mg  0.3227  0.6667  0.5000

No. 12
Below is a relaxed structure of Hf4TlSiC2, with properties calculated at the PBE level.

Summary:
Its spin magnetization is 0.00 μB per formula unit. As for the total DFT energy (no corrections): -71.68 eV/cell. Its space group is P-6m2.

Unit cell a=3.3120 b=3.3120 c=14.1218 alpha=90.00 beta=90.00 gamma=120.00
Fractional positions:
C  0.3333  0.6667  0.2375
C  0.3333  0.6667  0.7625
Hf  0.6667  0.3333  0.1474
Hf  0.0000  0.0000  0.3225
Hf  0.0000  0.0000  0.6775
Hf  0.6667  0.3333  0.8526
Si  0.0000  0.0000  0.0000
Tl  0.6667  0.3333  0.5000

No. 13
Below is a relaxed structure of MgNiSb, with properties calculated at the PBE level.

Summary:
Its spin magnetization is 0.00 μB per formula unit. As for the total DFT energy (no corrections): -48.85 eV/cell. Its space group is Pnma.

Unit cell a=7.4739 b=4.2332 c=7.0038 alpha=90.00 beta=90.00 gamma=90.00
Fractional positions:
Mg  0.0072  0.2500  0.2069
Mg  0.5072  0.2500  0.2931
Mg  0.4928  0.7500  0.7069
Mg  0.9928  0.7500  0.7931
Ni  0.6040  0.7500  0.0657
Ni  0.1040  0.7500  0.4343
Ni  0.8960  0.2500  0.5657
Ni  0.3960  0.2500  0.9343
Sb  0.2613  0.7500  0.0981
Sb  0.7613  0.7500  0.4019
Sb  0.2387  0.2500  0.5981
Sb  0.7387  0.2500  0.9019

No. 14
Below is a relaxed structure of PaAgO3, with properties calculated at the PBE level.

Summary:
Its spin magnetization is 0.00 μB per formula unit. As for the total DFT energy (no corrections): -70.15 eV/cell. Its space group is R-3c.

Unit cell a=5.5226 b=5.5226 c=5.5226 alpha=68.80 beta=68.80 gamma=68.80
Fractional positions:
Ag  0.0000  0.0000  0.0000
Ag  0.5000  0.5000  0.5000
O  0.7500  0.4176  0.0824
O  0.5824  0.9176  0.2500
O  0.0824  0.7500  0.4176
O  0.9176  0.2500  0.5824
O  0.4176  0.0824  0.7500
O  0.2500  0.5824  0.9176
Pa  0.2500  0.2500  0.2500
Pa  0.7500  0.7500  0.7500

No. 15
Below is a relaxed structure of PmNdZr, with properties calculated at the PBE level.

Summary:
The value obtained for the relative energy among the computed polymorphs is 0 meV/atom. Its spin magnetization is 1.84 μB per formula unit. As for the total DFT energy (no corrections): -15.77 eV/cell. Its space group is F-43m. The value obtained for the formation energy is 0.7634 eV/atom.

Unit cell a=5.3052 b=5.3052 c=5.3052 alpha=60.00 beta=60.00 gamma=60.00
Fractional positions:
Nd  0.2500  0.2500  0.2500
Pm  0.7500  0.7500  0.7500
Zr  0.0000  0.0000  0.0000

No. 16
Below is a relaxed structure of PrYFe, with properties calculated at the PBE level.

Summary:
Its spin magnetization is 0.29 μB per formula unit. As for the total DFT energy (no corrections): -18.71 eV/cell. Its space group is F-43m. The value obtained for the formation energy is 0.2801 eV/atom.

Unit cell a=4.7536 b=4.7536 c=4.7536 alpha=60.00 beta=60.00 gamma=60.00
Fractional positions:
Fe  0.0000  0.0000  0.0000
Pr  0.2500  0.2500  0.2500
Y  0.7500  0.7500  0.7500

No. 17
Below is a relaxed structure of ThFeW, with properties calculated at the PBE level.

Summary:
The value obtained for the relative energy among the computed polymorphs is 784 meV/atom. Its spin magnetization is 0.00 μB per formula unit. As for the total DFT energy (no corrections): -24.20 eV/cell. Its space group is F-43m. The value obtained for the formation energy is 1.4934 eV/atom.

Unit cell a=4.4244 b=4.4244 c=4.4244 alpha=60.00 beta=60.00 gamma=60.00
Fractional positions:
Fe  0.5000  0.5000  0.5000
Th  0.2500  0.2500  0.2500
W  0.0000  0.0000  0.0000

No. 18
Below is a relaxed structure of NdPaRe, with properties calculated at the PBE level.

Summary:
The value obtained for the relative energy among the computed polymorphs is 0 meV/atom. Its spin magnetization is 0.18 μB per formula unit. As for the total DFT energy (no corrections): -25.53 eV/cell. Its space group is F-43m. The value obtained for the formation energy is 0.3822 eV/atom.

Unit cell a=4.8451 b=4.8451 c=4.8451 alpha=60.00 beta=60.00 gamma=60.00
Fractional positions:
Nd  0.7500  0.7500  0.7500
Pa  0.2500  0.2500  0.2500
Re  0.0000  0.0000  0.0000

Number 1: volume 72.61 Å³/f.u.. Number 2: volume 183.49 Å³/f.u.. Number 3: volume 168.36 Å³/f.u.. Number 4: volume 143.09 Å³/f.u.. Number 5: volume 290.91 Å³/f.u.. Number 6: volume 146.61 Å³/f.u.. Number 7: volume 58.04 Å³/f.u.. Number 8: volume 63.23 Å³/f.u.. Number 9: volume 201.37 Å³/f.u.. Number 10: volume 60.75 Å³/f.u.. Number 11: volume 57.80 Å³/f.u.. Number 12: volume 134.16 Å³/f.u.. Number 13: volume 55.40 Å³/f.u.. Number 14: volume 70.58 Å³/f.u.. Number 15: volume 105.58 Å³/f.u.. Number 16: volume 75.96 Å³/f.u.. Number 17: volume 61.24 Å³/f.u.. Number 18: volume 80.43 Å³/f.u..